Entry 1:
! MgSnPt6, relaxed, DFT PBE-GGA; values from VASP
&SYSTEM
  ibrav = 0, nat = 8, ntyp = 3
/
ATOMIC_SPECIES
Mg 24.30 Mg.upf
Sn 118.71 Sn.upf
Pt 195.08 Pt.upf
CELL_PARAMETERS angstrom
4.0041 0.0000 0.0000
0.0000 4.0041 0.0000
0.0000 0.0000 8.0356
ATOMIC_POSITIONS crystal
Mg 0.0000 0.0000 0.0000
Sn 0.0000 0.0000 0.5000
Pt 0.0000 0.5000 0.2432
Pt 0.0000 0.5000 0.7568
Pt 0.5000 0.0000 0.2432
Pt 0.5000 0.0000 0.7568
Pt 0.5000 0.5000 0.0000
Pt 0.5000 0.5000 0.5000
! Space group   P4/mmm (123)
! Final energy   -5.734 eV per atom

---

Entry 2:
! LaTlHgSe3, relaxed, DFT PBE-GGA; values from VASP
&SYSTEM
  ibrav = 0, nat = 24, ntyp = 4
/
ATOMIC_SPECIES
La 138.91 La.upf
Tl 204.38 Tl.upf
Hg 200.59 Hg.upf
Se 78.96 Se.upf
CELL_PARAMETERS angstrom
11.9568 0.0000 0.0000
0.0000 4.5358 0.0000
0.0000 0.0000 12.8080
ATOMIC_POSITIONS crystal
La 0.0178 0.2500 0.1852
La 0.4822 0.7500 0.6852
La 0.5178 0.2500 0.3148
La 0.9822 0.7500 0.8148
Tl 0.1746 0.2500 0.4978
Tl 0.3254 0.7500 0.9978
Tl 0.6746 0.2500 0.0022
Tl 0.8254 0.7500 0.5022
Hg 0.2504 0.2500 0.7973
Hg 0.2496 0.7500 0.2973
Hg 0.7504 0.2500 0.7027
Hg 0.7496 0.7500 0.2027
Se 0.0335 0.7500 0.3460
Se 0.0875 0.2500 0.9384
Se 0.2204 0.7500 0.6802
Se 0.2796 0.2500 0.1802
Se 0.4125 0.7500 0.4384
Se 0.4665 0.2500 0.8460
Se 0.5335 0.7500 0.1540
Se 0.5875 0.2500 0.5616
Se 0.7204 0.7500 0.8198
Se 0.7796 0.2500 0.3198
Se 0.9125 0.7500 0.0616
Se 0.9665 0.2500 0.6540
! Space group   Pnma (62)
! Energy relative to the lowest polymorph listed for this composition   16.5 meV/atom

---

Entry 3:
! KLaWSe4, relaxed, DFT PBE-GGA; values from VASP
&SYSTEM
  ibrav = 0, nat = 14, ntyp = 4
/
ATOMIC_SPECIES
K 39.10 K.upf
La 138.91 La.upf
W 183.84 W.upf
Se 78.96 Se.upf
CELL_PARAMETERS angstrom
7.1047 0.0000 0.0000
0.0000 7.0311 0.0000
-2.8627 0.0000 8.7014
ATOMIC_POSITIONS crystal
K 0.2446 0.0000 0.4400
K 0.7554 0.5000 0.5600
La 0.2725 0.9850 0.9527
La 0.7275 0.4850 0.0473
W 0.2595 0.5030 0.1728
W 0.7405 0.0030 0.8272
Se 0.0593 0.5950 0.9143
Se 0.0774 0.5299 0.3517
Se 0.4810 0.2470 0.7743
Se 0.4998 0.2440 0.2206
Se 0.5002 0.7440 0.7794
Se 0.5190 0.7470 0.2257
Se 0.9226 0.0299 0.6483
Se 0.9407 0.0950 0.0857
! Space group   P2_1 (4)
! Final energy   -5.702 eV per atom

---

Entry 4:
! Pr2Nd2CI3Cl2, relaxed, DFT PBE-GGA; values from VASP
&SYSTEM
  ibrav = 0, nat = 10, ntyp = 5
/
ATOMIC_SPECIES
Pr 140.91 Pr.upf
Nd 144.24 Nd.upf
C 12.01 C.upf
I 126.90 I.upf
Cl 35.45 Cl.upf
CELL_PARAMETERS angstrom
9.1520 -2.0288 0.0000
9.1520 2.0288 0.0000
-1.8767 0.0000 8.6803
ATOMIC_POSITIONS crystal
Pr 0.1416 0.1416 0.0636
Pr 0.8584 0.8584 0.9364
Nd 0.4966 0.4966 0.1937
Nd 0.5034 0.5034 0.8063
C 0.0000 0.0000 0.0000
I 0.0000 0.0000 0.5000
I 0.3293 0.3293 0.6579
I 0.6707 0.6707 0.3421
Cl 0.3332 0.3332 0.1530
Cl 0.6668 0.6668 0.8470
! Space group   C2/m (12)
! Energy relative to the lowest polymorph listed for this composition   13.4 meV/atom